(1)
The following is a DFT calculation (PBEsol) of a relaxed structure of FeSbIr2.

abc: 3.7420 3.9771 3.9771
angles: 90.00 90.00 90.00
Closest atoms and distances in Å follow each position.
Fractional positions:
Fe (0.5000, 0.0000, 0.0000)  8 Ir 2.73, 4 Sb 2.81
Sb (0.5000, 0.5000, 0.5000)  8 Ir 2.73, 4 Fe 2.81
Ir (0.0000, 0.5000, 0.0000)  4 Fe 2.73, 4 Sb 2.73, 4 Ir 2.81
Ir (0.0000, 0.0000, 0.5000)  4 Fe 2.73, 4 Sb 2.73, 4 Ir 2.81

Summary:
Its uncorrected formation energy is 121 meV/atom. The calculation puts the volume at 59 Å³ per cell.

=====

(2)
The following is a DFT calculation (PBEsol) of a relaxed structure of Al5Mo.

abc: 4.8770 4.8770 8.8189
angles: 90.00 90.00 120.00
Closest atoms and distances in Å follow each position.
Fractional positions:
Mo (0.6667, 0.3333, 0.7500)  12 Al 2.73-2.82
Al (0.6667, 0.3333, 0.2500)  9 Al 2.73-2.82, 3 Mo 2.82
Al (0.3385, 0.3385, 0.0000)  10 Al 2.73-2.86, 2 Mo 2.73
Mo (0.3333, 0.6667, 0.2500)  12 Al 2.73-2.82
Al (0.3385, 0.0000, 0.5000)  10 Al 2.73-2.86, 2 Mo 2.73
Al (0.3333, 0.6667, 0.7500)  9 Al 2.73-2.82, 3 Mo 2.82
Al (0.0000, 0.0000, 0.7500)  9 Al 2.75-2.82, 3 Mo 2.82
Al (0.0000, 0.3385, 0.5000)  2 Mo 2.73, 10 Al 2.73-2.86
Al (0.6615, 0.6615, 0.5000)  2 Mo 2.73, 10 Al 2.73-2.86
Al (0.0000, 0.6615, 0.0000)  2 Mo 2.73, 10 Al 2.73-2.86
Al (0.0000, 0.0000, 0.2500)  9 Al 2.75-2.82, 3 Mo 2.82
Al (0.6615, 0.0000, 0.0000)  10 Al 2.73-2.86, 2 Mo 2.73

Summary:
Its formation energy is -0.23 eV/atom. The calculation puts the relative energy among the computed polymorphs at 0.00 eV/f.u. The calculation puts the volume at 182 Å³ per cell.

=====

(3)
The following is a DFT calculation (PBEsol) of a relaxed structure of Li2RuBr.

abc: 3.6298 3.8818 3.8818
angles: 90.00 90.00 90.00
Closest atoms and distances in Å follow each position.
Fractional positions:
Ru (0.5000, 0.5000, 0.5000)  8 Li 2.66, 4 Br 2.74
Li (0.0000, 0.5000, 0.0000)  4 Br 2.66, 4 Ru 2.66, 4 Li 2.74
Br (0.5000, 0.0000, 0.0000)  8 Li 2.66, 4 Ru 2.74
Li (0.0000, 0.0000, 0.5000)  4 Ru 2.66, 4 Br 2.66, 4 Li 2.74

Summary:
Its uncorrected formation energy is 165 meV/atom. The calculation puts the relative energy among the computed polymorphs at 0.00 eV/f.u. The calculation puts the volume at 55 Å³ per cell.

=====

Sequential magnetization output: 2.47; 0.00; 0.01 Bohr magnetons per cell